# HfRuI2N

An optimized crystal structure of HfRuI2N (PBEsol, Alexandria).

For the raw formation energy, the calculation gives 3.43 eV/f.u. The calculation puts the total energy at -29.3 eV/cell.

The structure belongs to space group P4/mmm (No. 123); the cell edges are 5.6963, 5.6963 and 3.8689 Å and the angles 90.00°, 90.00° and 90.00°. The inequivalent atoms are Hf at (0.0000, 0.0000, 0.0000), Ru at (0.5000, 0.5000, 0.5000), I at (0.0000, 0.5000, 0.0000) and N at (0.0000, 0.0000, 0.5000).

***

# HIrI2O

An optimized crystal structure of HIrI2O (PBEsol, Alexandria).

The calculation puts the total energy at -18.4 eV/cell.

The structure belongs to space group P4/mmm (No. 123); the cell edges are 5.1239, 5.1239 and 2.8890 Å and the angles 90.00°, 90.00° and 90.00°. The inequivalent atoms are H at (0.0000, 0.0000, 0.0000), Ir at (0.5000, 0.5000, 0.5000), I at (0.0000, 0.5000, 0.0000) and O at (0.0000, 0.0000, 0.5000).

***

# FeTcI3

An optimized crystal structure of FeTcI3 (PBEsol, Alexandria).

For the raw formation energy, the calculation gives 5.65 eV/f.u. The calculation puts the total energy at -19.9 eV/cell.

The structure belongs to space group Pm-3m (No. 221); the cell edges are 5.2618, 5.2618 and 5.2618 Å and the angles 90.00°, 90.00° and 90.00°. The inequivalent atoms are Fe at (0.0000, 0.0000, 0.0000), Tc at (0.5000, 0.5000, 0.5000) and I at (0.0000, 0.0000, 0.5000).

***

# CsCd3Te

An optimized crystal structure of CsCd3Te (PBEsol, Alexandria).

For the raw formation energy, the calculation gives 4.27 eV/f.u. The calculation puts the total energy at -3.8 eV/cell.

The structure belongs to space group Pm-3m (No. 221); the cell edges are 6.6576, 6.6576 and 6.6576 Å and the angles 90.00°, 90.00° and 90.00°. The inequivalent atoms are Cs at (0.0000, 0.0000, 0.0000), Cd at (0.0000, 0.0000, 0.5000) and Te at (0.5000, 0.5000, 0.5000).